(1)
First-principles (PBE) data for a relaxed PPbS2Cl crystal, as listed in the Alexandria database. Values from VASP.

The structure in Quantum ESPRESSO input format:
```
&SYSTEM
  ibrav = 0, nat = 5, ntyp = 4
/
ATOMIC_SPECIES
P 30.97 P.upf
Pb 207.20 Pb.upf
S 32.06 S.upf
Cl 35.45 Cl.upf
CELL_PARAMETERS angstrom
5.269 0.000 0.000
0.000 5.269 0.000
0.000 0.000 5.283
ATOMIC_POSITIONS angstrom
P 0.000 0.000 0.000
Pb 2.634 2.634 2.642
S 0.000 2.634 2.642
S 2.634 0.000 2.642
Cl 2.634 2.634 0.000
```

Output
Energy relative to the elements, uncorrected   0.82 eV per atom
Space-group type   P4/mmm
Offset from the most stable computed form   939 meV/atom
Spin magnetization   1.2 Bohr magnetons per cell

***

(2)
First-principles (PBE) data for a relaxed PPbS2Cl crystal, as listed in the Alexandria database. Values from VASP.

The structure in Quantum ESPRESSO input format:
```
&SYSTEM
  ibrav = 0, nat = 5, ntyp = 4
/
ATOMIC_SPECIES
P 30.97 P.upf
Pb 207.20 Pb.upf
S 32.06 S.upf
Cl 35.45 Cl.upf
CELL_PARAMETERS angstrom
4.728 0.000 0.000
0.000 4.728 0.000
0.000 0.000 4.748
ATOMIC_POSITIONS angstrom
P 0.000 0.000 0.000
Pb 2.364 2.364 2.374
S 0.000 2.364 0.000
S 2.364 0.000 0.000
Cl 0.000 0.000 2.374
```

Output
Energy relative to the elements, uncorrected   -0.12 eV per atom
Space-group type   P4/mmm
Offset from the most stable computed form   0 meV/atom
Spin magnetization   0.0 Bohr magnetons per cell

***

(3)
First-principles (PBE) data for a relaxed ScPPbCl2 crystal, as listed in the Alexandria database. Values from VASP.

The structure in Quantum ESPRESSO input format:
```
&SYSTEM
  ibrav = 0, nat = 5, ntyp = 4
/
ATOMIC_SPECIES
Sc 44.96 Sc.upf
P 30.97 P.upf
Pb 207.20 Pb.upf
Cl 35.45 Cl.upf
CELL_PARAMETERS angstrom
5.246 0.000 0.000
0.000 5.246 0.000
0.000 0.000 5.954
ATOMIC_POSITIONS angstrom
Sc 0.000 0.000 0.000
P 0.000 0.000 2.977
Pb 2.623 2.623 2.977
Cl 0.000 2.623 0.000
Cl 2.623 0.000 0.000
```

Output
Energy relative to the elements, uncorrected   -0.71 eV per atom
Space-group type   P4/mmm
Offset from the most stable computed form   0 meV/atom
Spin magnetization   0.0 Bohr magnetons per cell

***

(4)
First-principles (PBE) data for a relaxed ScPPbCl2 crystal, as listed in the Alexandria database. Values from VASP.

The structure in Quantum ESPRESSO input format:
```
&SYSTEM
  ibrav = 0, nat = 5, ntyp = 4
/
ATOMIC_SPECIES
Sc 44.96 Sc.upf
P 30.97 P.upf
Pb 207.20 Pb.upf
Cl 35.45 Cl.upf
CELL_PARAMETERS angstrom
5.310 0.000 0.000
0.000 5.310 0.000
0.000 0.000 5.411
ATOMIC_POSITIONS angstrom
Sc 0.000 0.000 0.000
P 2.655 2.655 0.000
Pb 2.655 2.655 2.705
Cl 0.000 2.655 2.705
Cl 2.655 0.000 2.705
```

Output
Energy relative to the elements, uncorrected   0.01 eV per atom
Space-group type   P4/mmm
Offset from the most stable computed form   726 meV/atom
Spin magnetization   0.8 Bohr magnetons per cell

***

(5)
First-principles (PBE) data for a relaxed P2PbSeCl crystal, as listed in the Alexandria database. Values from VASP.

The structure in Quantum ESPRESSO input format:
```
&SYSTEM
  ibrav = 0, nat = 5, ntyp = 4
/
ATOMIC_SPECIES
P 30.97 P.upf
Pb 207.20 Pb.upf
Se 78.96 Se.upf
Cl 35.45 Cl.upf
CELL_PARAMETERS angstrom
5.506 0.000 0.000
0.000 5.506 0.000
0.000 0.000 5.288
ATOMIC_POSITIONS angstrom
P 0.000 2.753 0.000
P 2.753 0.000 0.000
Pb 0.000 0.000 0.000
Se 2.753 2.753 2.644
Cl 0.000 0.000 2.644
```

Output
Energy relative to the elements, uncorrected   1.03 eV per atom
Space-group type   P4/mmm
Offset from the most stable computed form   432 meV/atom
Spin magnetization   1.4 Bohr magnetons per cell

***

(6)
First-principles (PBE) data for a relaxed P2PbSeCl crystal, as listed in the Alexandria database. Values from VASP.

The structure in Quantum ESPRESSO input format:
```
&SYSTEM
  ibrav = 0, nat = 5, ntyp = 4
/
ATOMIC_SPECIES
P 30.97 P.upf
Pb 207.20 Pb.upf
Se 78.96 Se.upf
Cl 35.45 Cl.upf
CELL_PARAMETERS angstrom
4.711 0.000 0.000
0.000 4.711 0.000
0.000 0.000 6.719
ATOMIC_POSITIONS angstrom
P 0.000 2.356 0.000
P 2.356 0.000 0.000
Pb 0.000 0.000 3.359
Se 2.356 2.356 0.000
Cl 2.356 2.356 3.359
```

Output
Energy relative to the elements, uncorrected   0.60 eV per atom
Space-group type   P4/mmm
Offset from the most stable computed form   0 meV/atom
Spin magnetization   0.0 Bohr magnetons per cell

***

(7)
First-principles (PBE) data for a relaxed PPbSeCl2 crystal, as listed in the Alexandria database. Values from VASP.

The structure in Quantum ESPRESSO input format:
```
&SYSTEM
  ibrav = 0, nat = 5, ntyp = 4
/
ATOMIC_SPECIES
P 30.97 P.upf
Pb 207.20 Pb.upf
Se 78.96 Se.upf
Cl 35.45 Cl.upf
CELL_PARAMETERS angstrom
5.354 0.000 0.000
0.000 5.354 0.000
0.000 0.000 5.784
ATOMIC_POSITIONS angstrom
P 0.000 0.000 0.000
Pb 0.000 0.000 2.892
Se 2.677 2.677 0.000
Cl 0.000 2.677 2.892
Cl 2.677 0.000 2.892
```

Output
Energy relative to the elements, uncorrected   0.44 eV per atom
Space-group type   P4/mmm
Offset from the most stable computed form   197 meV/atom
Spin magnetization   2.1 Bohr magnetons per cell

***

(8)
First-principles (PBE) data for a relaxed PPbSeCl2 crystal, as listed in the Alexandria database. Values from VASP.

The structure in Quantum ESPRESSO input format:
```
&SYSTEM
  ibrav = 0, nat = 5, ntyp = 4
/
ATOMIC_SPECIES
P 30.97 P.upf
Pb 207.20 Pb.upf
Se 78.96 Se.upf
Cl 35.45 Cl.upf
CELL_PARAMETERS angstrom
5.459 0.000 0.000
0.000 5.459 0.000
0.000 0.000 5.003
ATOMIC_POSITIONS angstrom
P 0.000 0.000 0.000
Pb 2.730 2.730 0.000
Se 0.000 0.000 2.501
Cl 0.000 2.730 2.501
Cl 2.730 0.000 2.501
```

Output
Energy relative to the elements, uncorrected   0.24 eV per atom
Space-group type   P4/mmm
Offset from the most stable computed form   0 meV/atom
Spin magnetization   0.0 Bohr magnetons per cell

***

(9)
First-principles (PBE) data for a relaxed PPbSe2Cl crystal, as listed in the Alexandria database. Values from VASP.

The structure in Quantum ESPRESSO input format:
```
&SYSTEM
  ibrav = 0, nat = 5, ntyp = 4
/
ATOMIC_SPECIES
P 30.97 P.upf
Pb 207.20 Pb.upf
Se 78.96 Se.upf
Cl 35.45 Cl.upf
CELL_PARAMETERS angstrom
5.585 0.000 0.000
0.000 5.585 0.000
0.000 0.000 5.414
ATOMIC_POSITIONS angstrom
P 0.000 0.000 0.000
Pb 0.000 0.000 2.707
Se 0.000 2.793 2.707
Se 2.793 0.000 2.707
Cl 2.793 2.793 0.000
```

Output
Energy relative to the elements, uncorrected   0.92 eV per atom
Space-group type   P4/mmm
Spin magnetization   3.9 Bohr magnetons per cell

***

(10)
First-principles (PBE) data for a relaxed SiPPbCl2 crystal, as listed in the Alexandria database. Values from VASP.

The structure in Quantum ESPRESSO input format:
```
&SYSTEM
  ibrav = 0, nat = 5, ntyp = 4
/
ATOMIC_SPECIES
Si 28.09 Si.upf
P 30.97 P.upf
Pb 207.20 Pb.upf
Cl 35.45 Cl.upf
CELL_PARAMETERS angstrom
5.089 0.000 0.000
0.000 5.089 0.000
0.000 0.000 5.167
ATOMIC_POSITIONS angstrom
Si 0.000 0.000 0.000
P 0.000 0.000 2.584
Pb 2.545 2.545 2.584
Cl 0.000 2.545 0.000
Cl 2.545 0.000 0.000
```

Output
Energy relative to the elements, uncorrected   -0.03 eV per atom
Space-group type   P4/mmm
Offset from the most stable computed form   0 meV/atom
Spin magnetization   0.0 Bohr magnetons per cell

***

(11)
First-principles (PBE) data for a relaxed SiPPbCl2 crystal, as listed in the Alexandria database. Values from VASP.

The structure in Quantum ESPRESSO input format:
```
&SYSTEM
  ibrav = 0, nat = 5, ntyp = 4
/
ATOMIC_SPECIES
Si 28.09 Si.upf
P 30.97 P.upf
Pb 207.20 Pb.upf
Cl 35.45 Cl.upf
CELL_PARAMETERS angstrom
5.635 0.000 0.000
0.000 5.635 0.000
0.000 0.000 5.877
ATOMIC_POSITIONS angstrom
Si 0.000 0.000 0.000
P 2.818 2.818 0.000
Pb 2.818 2.818 2.938
Cl 0.000 2.818 2.938
Cl 2.818 0.000 2.938
```

Output
Energy relative to the elements, uncorrected   0.62 eV per atom
Space-group type   P4/mmm
Offset from the most stable computed form   650 meV/atom
Spin magnetization   0.6 Bohr magnetons per cell

***

(12)
First-principles (PBE) data for a relaxed Sm3PPbCl crystal, as listed in the Alexandria database. Values from VASP.

The structure in Quantum ESPRESSO input format:
```
&SYSTEM
  ibrav = 0, nat = 12, ntyp = 4
/
ATOMIC_SPECIES
Sm 150.36 Sm.upf
P 30.97 P.upf
Pb 207.20 Pb.upf
Cl 35.45 Cl.upf
CELL_PARAMETERS angstrom
7.313 0.000 0.000
0.000 4.133 0.000
-2.337 0.000 11.037
ATOMIC_POSITIONS angstrom
Sm -0.036 1.033 1.574
Sm 0.803 1.033 5.554
Sm 1.310 3.100 9.390
Sm 3.666 1.033 1.647
Sm 4.174 3.100 5.483
Sm 5.012 3.100 9.462
P -0.489 1.033 10.411
P 5.466 3.100 0.625
Pb 1.809 3.100 3.362
Pb 3.167 1.033 7.674
Cl -0.581 3.100 7.016
Cl 5.557 1.033 4.020
```

Output
Energy relative to the elements, uncorrected   -1.20 eV per atom
Space-group type   P2_1/m
Spin magnetization   0.0 Bohr magnetons per cell

***

(13)
First-principles (PBE) data for a relaxed SnPPbCl2 crystal, as listed in the Alexandria database. Values from VASP.

The structure in Quantum ESPRESSO input format:
```
&SYSTEM
  ibrav = 0, nat = 5, ntyp = 4
/
ATOMIC_SPECIES
Sn 118.71 Sn.upf
P 30.97 P.upf
Pb 207.20 Pb.upf
Cl 35.45 Cl.upf
CELL_PARAMETERS angstrom
6.920 0.000 0.000
0.000 6.920 0.000
0.000 0.000 7.800
ATOMIC_POSITIONS angstrom
Sn 0.000 0.000 0.000
P 0.000 0.000 3.900
Pb 3.460 3.460 3.900
Cl 0.000 3.460 0.000
Cl 3.460 0.000 0.000
```

Output
Energy relative to the elements, uncorrected   1.00 eV per atom
Space-group type   P4/mmm
Offset from the most stable computed form   713 meV/atom
Spin magnetization   1.0 Bohr magnetons per cell

***

(14)
First-principles (PBE) data for a relaxed SnP2PbCl crystal, as listed in the Alexandria database. Values from VASP.

The structure in Quantum ESPRESSO input format:
```
&SYSTEM
  ibrav = 0, nat = 5, ntyp = 4
/
ATOMIC_SPECIES
Sn 118.71 Sn.upf
P 30.97 P.upf
Pb 207.20 Pb.upf
Cl 35.45 Cl.upf
CELL_PARAMETERS angstrom
5.575 0.000 0.000
0.000 5.575 0.000
0.000 0.000 5.647
ATOMIC_POSITIONS angstrom
Sn 0.000 0.000 0.000
P 0.000 2.788 2.824
P 2.788 0.000 2.824
Pb 2.788 2.788 2.824
Cl 2.788 2.788 0.000
```

Output
Energy relative to the elements, uncorrected   0.74 eV per atom
Space-group type   P4/mmm
Offset from the most stable computed form   0 meV/atom
Spin magnetization   0.9 Bohr magnetons per cell

***

(15)
First-principles (PBE) data for a relaxed SnPPbCl2 crystal, as listed in the Alexandria database. Values from VASP.

The structure in Quantum ESPRESSO input format:
```
&SYSTEM
  ibrav = 0, nat = 5, ntyp = 4
/
ATOMIC_SPECIES
Sn 118.71 Sn.upf
P 30.97 P.upf
Pb 207.20 Pb.upf
Cl 35.45 Cl.upf
CELL_PARAMETERS angstrom
5.802 0.000 0.000
0.000 5.802 0.000
0.000 0.000 6.594
ATOMIC_POSITIONS angstrom
Sn 0.000 0.000 0.000
P 2.901 2.901 0.000
Pb 2.901 2.901 3.297
Cl 0.000 2.901 3.297
Cl 2.901 0.000 3.297
```

Output
Energy relative to the elements, uncorrected   0.29 eV per atom
Space-group type   P4/mmm
Offset from the most stable computed form   0 meV/atom
Spin magnetization   1.0 Bohr magnetons per cell

***

(16)
First-principles (PBE) data for a relaxed Sn2PPbCl crystal, as listed in the Alexandria database. Values from VASP.

The structure in Quantum ESPRESSO input format:
```
&SYSTEM
  ibrav = 0, nat = 5, ntyp = 4
/
ATOMIC_SPECIES
Sn 118.71 Sn.upf
P 30.97 P.upf
Pb 207.20 Pb.upf
Cl 35.45 Cl.upf
CELL_PARAMETERS angstrom
5.266 0.000 0.000
0.000 5.266 0.000
0.000 0.000 5.828
ATOMIC_POSITIONS angstrom
Sn 0.000 2.633 0.000
Sn 2.633 0.000 0.000
P 0.000 0.000 0.000
Pb 0.000 0.000 2.914
Cl 2.633 2.633 2.914
```

Output
Energy relative to the elements, uncorrected   0.21 eV per atom
Space-group type   P4/mmm
Spin magnetization   0.0 Bohr magnetons per cell

***

(17)
First-principles (PBE) data for a relaxed SnP2PbCl crystal, as listed in the Alexandria database. Values from VASP.

The structure in Quantum ESPRESSO input format:
```
&SYSTEM
  ibrav = 0, nat = 5, ntyp = 4
/
ATOMIC_SPECIES
Sn 118.71 Sn.upf
P 30.97 P.upf
Pb 207.20 Pb.upf
Cl 35.45 Cl.upf
CELL_PARAMETERS angstrom
6.726 0.000 0.000
0.000 6.726 0.000
0.000 0.000 6.877
ATOMIC_POSITIONS angstrom
Sn 0.000 0.000 0.000
P 0.000 3.363 0.000
P 3.363 0.000 0.000
Pb 3.363 3.363 3.439
Cl 0.000 0.000 3.439
```

Output
Energy relative to the elements, uncorrected   1.46 eV per atom
Space-group type   P4/mmm
Offset from the most stable computed form   729 meV/atom
Spin magnetization   2.9 Bohr magnetons per cell

***

(18)
First-principles (PBE) data for a relaxed SrP2PbCl crystal, as listed in the Alexandria database. Values from VASP.

The structure in Quantum ESPRESSO input format:
```
&SYSTEM
  ibrav = 0, nat = 5, ntyp = 4
/
ATOMIC_SPECIES
Sr 87.62 Sr.upf
P 30.97 P.upf
Pb 207.20 Pb.upf
Cl 35.45 Cl.upf
CELL_PARAMETERS angstrom
5.664 0.000 0.000
0.000 5.664 0.000
0.000 0.000 5.416
ATOMIC_POSITIONS angstrom
Sr 0.000 0.000 0.000
P 0.000 2.832 0.000
P 2.832 0.000 0.000
Pb 2.832 2.832 2.708
Cl 0.000 0.000 2.708
```

Output
Energy relative to the elements, uncorrected   0.26 eV per atom
Space-group type   P4/mmm
Offset from the most stable computed form   359 meV/atom
Spin magnetization   1.0 Bohr magnetons per cell

***

(19)
First-principles (PBE) data for a relaxed SrPPbCl2 crystal, as listed in the Alexandria database. Values from VASP.

The structure in Quantum ESPRESSO input format:
```
&SYSTEM
  ibrav = 0, nat = 5, ntyp = 4
/
ATOMIC_SPECIES
Sr 87.62 Sr.upf
P 30.97 P.upf
Pb 207.20 Pb.upf
Cl 35.45 Cl.upf
CELL_PARAMETERS angstrom
5.711 0.000 0.000
0.000 5.711 0.000
0.000 0.000 6.364
ATOMIC_POSITIONS angstrom
Sr 0.000 0.000 0.000
P 2.856 2.856 0.000
Pb 2.856 2.856 3.182
Cl 0.000 2.856 3.182
Cl 2.856 0.000 3.182
```

Output
Energy relative to the elements, uncorrected   -0.55 eV per atom
Space-group type   P4/mmm
Offset from the most stable computed form   83 meV/atom
Spin magnetization   0.5 Bohr magnetons per cell

***

(20)
First-principles (PBE) data for a relaxed SrP2PbCl crystal, as listed in the Alexandria database. Values from VASP.

The structure in Quantum ESPRESSO input format:
```
&SYSTEM
  ibrav = 0, nat = 5, ntyp = 4
/
ATOMIC_SPECIES
Sr 87.62 Sr.upf
P 30.97 P.upf
Pb 207.20 Pb.upf
Cl 35.45 Cl.upf
CELL_PARAMETERS angstrom
5.445 0.000 0.000
0.000 5.445 0.000
0.000 0.000 5.591
ATOMIC_POSITIONS angstrom
Sr 0.000 0.000 0.000
P 0.000 2.722 2.795
P 2.722 0.000 2.795
Pb 2.722 2.722 2.795
Cl 2.722 2.722 0.000
```

Output
Energy relative to the elements, uncorrected   -0.10 eV per atom
Space-group type   P4/mmm
Offset from the most stable computed form   0 meV/atom
Spin magnetization   0.6 Bohr magnetons per cell